Fe5Cu: optimized geometry, PBE.

The structure belongs to space group P6/mmm (No. 191); the cell edges are 4.6512, 4.6512 and 4.0019 Å and the angles 90.00°, 90.00° and 120.00°. The inequivalent atoms are Fe at (0.0000, 0.5000, 0.0000), Fe at (0.3333, 0.6667, 0.5000) and Cu at (0.0000, 0.0000, 0.5000).

Its relative energy among the computed polymorphs is 30.4 kJ per mole of atoms. The total magnetization comes out at 9.5 Bohr magnetons per cell. The formation energy is 412 meV/atom. The density of states at the Fermi level comes out at 0.7983 states/eV per atom.

***

FeCu: optimized geometry, PBE.

The structure belongs to space group Cmme (No. 67); the cell edges are 2.968, 3.961 and 8.045 Å and the angles 90.00°, 90.00° and 90.00°. The inequivalent atoms are Fe at (0.000, 0.250, 0.122) and Cu at (0.000, 0.250, 0.626).

The total magnetization comes out at 9.9 Bohr magnetons per cell. The formation energy is 81 meV/atom. The density of states at the Fermi level comes out at 0.7085 states/eV per atom.

***

FeCu4: optimized geometry, PBE.

The structure belongs to space group Pm-3m (No. 221); the cell edges are 4.399, 4.399 and 4.399 Å and the angles 90.00°, 90.00° and 90.00°. The inequivalent atoms are Fe at (0.000, 0.000, 0.000), Cu at (0.000, 0.000, 0.500) and Cu at (0.500, 0.500, 0.500).

The total magnetization comes out at 2.9 Bohr magnetons per cell. The formation energy is 1158 meV/atom. The density of states at the Fermi level comes out at 0.8605 states/eV per atom.

***

FeCu: optimized geometry, PBE.

The structure belongs to space group Cm (No. 8); the cell edges are 9.695, 2.528 and 6.046 Å and the angles 90.00°, 105.02° and 90.00°. The inequivalent atoms are Fe at (0.000, 0.000, 0.000), Fe at (0.053, 0.000, 0.611), Fe at (0.390, 0.000, 0.277), Cu at (0.167, 0.500, 0.333), Cu at (0.222, 0.500, 0.945) and Cu at (0.331, 0.000, 0.667).

The total magnetization comes out at 16.0 Bohr magnetons per cell. The formation energy is 146 meV/atom. The density of states at the Fermi level comes out at 0.7544 states/eV per atom.

***

FeCu: optimized geometry, PBE.

The structure belongs to space group I4/mmm (No. 139); the cell edges are 8.440, 8.440 and 2.891 Å and the angles 90.00°, 90.00° and 90.00°. The inequivalent atoms are Fe at (0.000, 0.340, 0.000) and Cu at (0.159, 0.159, 0.500).

The total magnetization comes out at 20.5 Bohr magnetons per cell. The formation energy is 283 meV/atom. The density of states at the Fermi level comes out at 0.7785 states/eV per atom.

***

FeCu: optimized geometry, PBE.

The structure belongs to space group P4_2/mnm (No. 136); the cell edges are 4.746, 4.746 and 4.856 Å and the angles 90.00°, 90.00° and 90.00°. The inequivalent atoms are Fe at (0.180, 0.180, 0.000) and Cu at (0.181, 0.181, 0.500).

The total magnetization comes out at 11.5 Bohr magnetons per cell. The formation energy is 654 meV/atom. The density of states at the Fermi level comes out at 0.8925 states/eV per atom.